Al3CuNi5 (GGA-PBE, optimized geometry); symmetry = P-62m
1.0
2.6190 0.0000 0.0000
0.0000 5.9619 -3.4421
0.0000 0.0000 6.8842
Cu Al Ni
1 3 5
direct
0.0000 0.0000 0.0000
0.0000 0.3725 0.0000
0.0000 0.0000 0.3725
0.0000 0.6275 0.6275
0.5000 0.6667 0.3333
0.5000 0.7017 0.0000
0.5000 0.3333 0.6667
0.5000 0.2983 0.2983
0.5000 0.0000 0.7017

Al2CuNi5 (GGA-PBE, optimized geometry); symmetry = I4/mmm
1.0
5.0324 0.0243 0.0347
-2.4565 4.3922 -0.0347
-2.4565 -1.5268 4.1185
Ni Al Cu
5 2 1
direct
0.0000 0.2778 0.7777
0.5001 0.2778 0.2778
0.4999 0.7777 0.7777
0.0000 0.7777 0.2778
0.0000 0.2777 0.2777
0.5000 0.7777 0.2777
0.5000 0.2777 0.7777
0.0000 0.7778 0.7778

Al2CuNi (GGA-PBE, optimized geometry); symmetry = P6_3/mmc
1.0
-3.4178 2.3035 0.2302
-0.2777 -4.0222 -0.8860
-0.5668 -1.5719 7.3143
Al Ni Cu
4 2 2
direct
0.3333 0.6667 0.4183
0.3333 0.6667 0.0817
0.6667 0.3333 0.9183
0.6667 0.3333 0.5817
0.6667 0.3333 0.2500
0.3333 0.6667 0.7500
0.0000 0.0000 0.2500
0.0000 0.0000 0.7500

Al4Cu2Ni (GGA-PBE, optimized geometry); symmetry = P2_1/m
1.0
4.2616 0.0000 0.0000
0.0000 7.3234 -0.4663
0.0000 4.1756 5.7965
Al Cu Ni
8 4 2
direct
0.2500 0.5478 0.8138
0.7500 0.4522 0.1862
0.7500 0.8675 0.0791
0.7500 0.0201 0.3713
0.2500 0.1325 0.9209
0.2500 0.9799 0.6287
0.2500 0.4105 0.4543
0.7500 0.5895 0.5457
0.7500 0.1881 0.6609
0.2500 0.7027 0.0462
0.7500 0.2973 0.9538
0.2500 0.8119 0.3391
0.7500 0.7609 0.7856
0.2500 0.2391 0.2144

Al2CuNi (GGA-PBE, optimized geometry); symmetry = P2/m
1.0
2.7724 0.0000 0.0000
0.0000 4.6767 0.0630
0.0000 3.1654 4.0729
Cu Ni Al
1 1 2
direct
0.5000 0.5000 0.5000
0.0000 0.0000 0.5000
0.0000 0.0000 0.0000
0.5000 0.5000 0.0000

Al4CuNi (GGA-PBE, optimized geometry); symmetry = Cmcm
1.0
7.7633 -0.0009 0.0000
-7.2207 2.8514 0.0000
0.0000 0.0000 7.8083
Ni Al Cu
2 8 2
direct
0.7379 0.2621 0.2500
0.2621 0.7379 0.7500
0.4224 0.5776 0.7500
0.0000 0.0000 0.5000
0.1751 0.8249 0.4840
0.5776 0.4224 0.2500
0.8249 0.1751 0.9840
0.1751 0.8249 0.0160
0.8249 0.1751 0.5160
0.0000 0.0000 0.0000
0.3924 0.6076 0.2500
0.6076 0.3924 0.7500

Al2CuNi (GGA-PBE, optimized geometry); symmetry = R3m
1.0
8.3809 -0.0008 -0.0005
7.9304 2.7107 -0.0005
7.9304 1.3175 2.3690
Al Ni Cu
2 1 1
direct
0.2464 0.2464 0.2464
0.0070 0.0070 0.0070
0.7494 0.7494 0.7494
0.4972 0.4972 0.4972

AlCuNi6 (GGA-PBE, optimized geometry); symmetry = P4/mmm
1.0
3.5510 0.0000 0.0000
0.0000 3.5510 0.0000
0.0000 0.0000 7.1157
Ni Al Cu
6 1 1
direct
0.5000 0.5000 0.0000
0.0000 0.5000 0.2508
0.5000 0.0000 0.7492
0.5000 0.5000 0.5000
0.5000 0.0000 0.2508
0.0000 0.5000 0.7492
0.0000 0.0000 0.0000
0.0000 0.0000 0.5000

AlCuNi14 (GGA-PBE, optimized geometry); symmetry = Amm2
1.0
-0.0867 -2.7557 -4.1625
-0.9284 -2.1390 4.4148
-7.9662 1.6059 -0.8972
Ni Cu Al
14 1 1
direct
0.8759 0.6249 0.2478
0.3751 0.1241 0.2478
0.2080 0.7920 0.0000
0.2076 0.2917 0.0000
0.3751 0.1241 0.7522
0.8744 0.1256 0.2494
0.3743 0.6257 0.7515
0.8744 0.1256 0.7506
0.7083 0.7924 0.0000
0.3743 0.6257 0.2485
0.7080 0.2920 0.0000
0.5414 0.9574 0.5000
0.8759 0.6249 0.7522
0.0426 0.4586 0.5000
0.5423 0.4577 0.5000
0.0425 0.9575 0.5000

AlCuNi2 (GGA-PBE, optimized geometry); symmetry = Cmmm
1.0
5.9604 -0.0004 -0.0010
-2.3517 3.4522 0.0079
1.2570 0.8465 2.2718
Ni Al Cu
2 1 1
direct
0.0000 0.0000 0.0000
0.5000 0.0000 0.5000
0.0000 0.5000 0.5000
0.5000 0.5000 0.0000

Al2CuNi4 (GGA-PBE, optimized geometry); symmetry = I4/mmm
1.0
4.2161 0.0000 0.0000
0.0000 4.2161 0.0000
2.1080 2.1080 6.0061
Ni Al Cu
4 2 1
direct
0.0000 0.5000 0.0000
0.1921 0.1921 0.6158
0.8079 0.8079 0.3842
0.5000 0.0000 0.0000
0.6167 0.6167 0.7666
0.3833 0.3833 0.2334
0.0000 0.0000 0.0000

AlCu3Ni7 (GGA-PBE, optimized geometry); symmetry = C2/m
1.0
-1.7769 -3.8836 -1.2392
5.9229 -0.1975 1.7511
-0.9465 1.6261 5.8861
Ni Cu Al
7 3 1
direct
0.3244 0.0686 0.5825
0.3244 0.5825 0.0686
0.6178 0.7821 0.7821
0.3822 0.2179 0.2179
0.6756 0.9314 0.4175
0.6756 0.4175 0.9314
0.0000 0.5000 0.5000
0.5000 0.0000 0.0000
0.0000 0.2077 0.7923
0.0000 0.7923 0.2077
0.5000 0.5000 0.5000

Al3Cu3Ni (GGA-PBE, optimized geometry); symmetry = Pmmn
1.0
-0.5374 -2.4724 0.9867
-1.0773 -2.3307 -6.4271
9.6654 -2.4001 -0.7498
Cu Al Ni
6 6 2
direct
0.2500 0.9335 0.8453
0.7500 0.7500 0.6494
0.7500 0.0665 0.1547
0.2500 0.2500 0.3506
0.7500 0.4335 0.1547
0.2500 0.5665 0.8453
0.2500 0.2500 0.9776
0.7500 0.5569 0.3901
0.7500 0.9431 0.3901
0.2500 0.0569 0.6099
0.7500 0.7500 0.0224
0.2500 0.4431 0.6099
0.7500 0.2500 0.7692
0.2500 0.7500 0.2308

AlCuNi2 (GGA-PBE, optimized geometry); symmetry = Pmm2
1.0
-2.5079 0.5662 0.5633
0.3577 -1.5380 3.1385
1.4555 4.4449 2.0124
Ni Al Cu
2 1 1
direct
0.0000 0.0000 0.9970
0.5000 0.5000 0.2539
0.0000 0.0000 0.4896
0.5000 0.5000 0.7596

Al4CuNi2 (GGA-PBE, optimized geometry); symmetry = P-3m1
1.0
1.3876 -2.4034 0.0000
1.3876 2.4034 0.0000
0.0000 0.0000 14.7871
Cu Al Ni
1 4 2
direct
0.0000 0.0000 0.5000
0.6667 0.3333 0.6380
0.3333 0.6667 0.9217
0.6667 0.3333 0.0783
0.3333 0.6667 0.3620
0.3333 0.6667 0.2014
0.6667 0.3333 0.7986

Al3Cu3Ni2 (GGA-PBE, optimized geometry); symmetry = P-1
1.0
-1.9122 -2.0932 5.9937
5.6579 -1.4219 2.6679
0.9032 3.8312 3.1967
Cu Ni Al
6 4 6
direct
0.4270 0.1976 0.6185
0.8152 0.0433 0.9008
0.6964 0.4247 0.6390
0.5730 0.8024 0.3815
0.1848 0.9567 0.0992
0.3036 0.5753 0.3610
0.6985 0.4333 0.1396
0.3015 0.5667 0.8604
0.0769 0.2975 0.3524
0.9231 0.7025 0.6476
0.9509 0.6675 0.1545
0.8103 0.0708 0.3937
0.4439 0.2115 0.1111
0.5561 0.7885 0.8889
0.1897 0.9292 0.6063
0.0491 0.3325 0.8455

AlCu3Ni4 (GGA-PBE, optimized geometry); symmetry = C2/m
1.0
-1.8513 0.4371 -3.1668
-3.1965 -0.3090 1.8260
2.4415 6.5856 1.6363
Ni Cu Al
4 3 1
direct
0.1244 0.1246 0.2488
0.8756 0.8754 0.7512
0.3756 0.3754 0.7512
0.6244 0.6246 0.2488
0.2497 0.7498 0.4994
0.0000 0.5000 0.0000
0.7503 0.2502 0.5006
0.5000 0.0000 0.0000

Al2CuNi8 (GGA-PBE, optimized geometry); symmetry = P4/mmm
1.0
3.5777 0.0000 0.0000
0.0000 3.5777 0.0000
0.0000 0.0000 10.2064
Ni Al Cu
8 2 1
direct
0.5000 0.0000 0.5000
0.5000 0.5000 0.6743
0.0000 0.5000 0.8438
0.5000 0.0000 0.1562
0.5000 0.0000 0.8438
0.0000 0.5000 0.1562
0.0000 0.5000 0.5000
0.5000 0.5000 0.3257
0.0000 0.0000 0.6714
0.0000 0.0000 0.3286
0.0000 0.0000 0.0000

Al3Cu3Ni2 (GGA-PBE, optimized geometry); symmetry = P6_3/mcm
1.0
7.0393 0.0000 0.0000
-3.5197 6.0962 0.0000
0.0000 0.0000 4.9133
Al Ni Cu
6 4 6
direct
0.0000 0.7312 0.7500
0.0000 0.2688 0.2500
0.7312 0.0000 0.7500
0.7312 0.7312 0.2500
0.2688 0.0000 0.2500
0.2688 0.2688 0.7500
0.3333 0.6667 0.0000
0.3333 0.6667 0.5000
0.6667 0.3333 0.5000
0.6667 0.3333 0.0000
0.0000 0.6148 0.2500
0.0000 0.3852 0.7500
0.3852 0.3852 0.2500
0.6148 0.0000 0.2500
0.3852 0.0000 0.7500
0.6148 0.6148 0.7500

Al4CuNi (GGA-PBE, optimized geometry); symmetry = Pmma
1.0
-2.7774 1.8750 2.0793
-2.5557 -4.3461 0.5053
4.7105 -1.8450 7.9558
Al Cu Ni
8 2 2
direct
0.0000 0.0000 0.0000
0.5000 0.3686 0.3874
0.5000 0.6314 0.6126
0.0000 0.0000 0.5000
0.5000 0.8618 0.2500
0.5000 0.1382 0.7500
0.5000 0.3686 0.1126
0.5000 0.6314 0.8874
0.0000 0.1424 0.2500
0.0000 0.8576 0.7500
0.0000 0.3809 0.7500
0.0000 0.6191 0.2500

Number 1: DFT formation energy -389 meV per atom, mass density 6.8 g cm⁻³. Number 2: DFT formation energy -418 meV per atom, mass density 7.5 g cm⁻³. Number 3: DFT formation energy -282 meV per atom, mass density 5.3 g cm⁻³. Number 4: DFT formation energy -272 meV per atom, mass density 5.2 g cm⁻³. Number 5: DFT formation energy -270 meV per atom, mass density 5.6 g cm⁻³. Number 6: DFT formation energy -180 meV per atom, mass density 4.4 g cm⁻³. Number 7: DFT formation energy -135 meV per atom, mass density 5.4 g cm⁻³. Number 8: DFT formation energy -188 meV per atom, mass density 8.2 g cm⁻³. Number 9: DFT formation energy -78 meV per atom, mass density 8.6 g cm⁻³. Number 10: DFT formation energy -351 meV per atom, mass density 7.4 g cm⁻³. Number 11: DFT formation energy 485 meV per atom, mass density 5.5 g cm⁻³. Number 12: DFT formation energy 211 meV per atom, mass density 7.6 g cm⁻³. Number 13: DFT formation energy -217 meV per atom, mass density 5.8 g cm⁻³. Number 14: DFT formation energy -261 meV per atom, mass density 7.3 g cm⁻³. Number 15: DFT formation energy -70 meV per atom, mass density 4.9 g cm⁻³. Number 16: DFT formation energy -355 meV per atom, mass density 6.5 g cm⁻³. Number 17: DFT formation energy -182 meV per atom, mass density 8.2 g cm⁻³. Number 18: DFT formation energy -158 meV per atom, mass density 7.5 g cm⁻³. Number 19: DFT formation energy -171 meV per atom, mass density 6.1 g cm⁻³. Number 20: DFT formation energy -84 meV per atom, mass density 4.1 g cm⁻³.